Entry 1:
Below is a geometry-optimized ZrNbAl2 structure, with properties calculated at the PBE level.

Structure (CIF):
```
data_ZrNbAl2
_chemical_formula_sum 'Zr4 Nb4 Al8'
_symmetry_space_group_name_H-M 'F -4 3 m'
_symmetry_Int_Tables_number 216
_symmetry_space_group_name_Hall 'F -4 2 3'
_cell_length_a 6.605
_cell_length_b 6.605
_cell_length_c 6.605
_cell_angle_alpha 90.00
_cell_angle_beta 90.00
_cell_angle_gamma 90.00
loop_
_atom_site_label
_atom_site_fract_x
_atom_site_fract_y
_atom_site_fract_z
Zr1 0.000 0.000 0.000
Nb1 0.250 0.250 0.750
Al1 0.000 0.000 0.500
Al2 0.250 0.250 0.250
```

Electronic total energy: -6.543 eV/atom



Entry 2:
Below is a geometry-optimized TbDyGe structure, with properties calculated at the PBE level.

Structure (CIF):
```
data_TbDyGe
_chemical_formula_sum 'Tb4 Dy4 Ge4'
_symmetry_space_group_name_H-M 'F -4 3 m'
_symmetry_Int_Tables_number 216
_symmetry_space_group_name_Hall 'F -4 2 3'
_cell_length_a 7.105
_cell_length_b 7.105
_cell_length_c 7.105
_cell_angle_alpha 90.00
_cell_angle_beta 90.00
_cell_angle_gamma 90.00
loop_
_atom_site_label
_atom_site_fract_x
_atom_site_fract_y
_atom_site_fract_z
Tb1 0.000 0.000 0.000
Dy1 0.250 0.250 0.750
Ge1 0.000 0.000 0.500
```

Electronic total energy: -4.280 eV/atom
Energy above the most stable polymorph in this dataset: 632 meV per atom